Record 1
Below is crystalline ErMgIn at its relaxed geometry, with properties calculated at the GGA-PBE level.

The structure in CIF format:
```
data_ErMgIn
_symmetry_space_group_name_H-M 'R 3 m'
_symmetry_Int_Tables_number 160
_symmetry_space_group_name_Hall 'R 3 -2"'
_cell_length_a 3.4520
_cell_length_b 3.4520
_cell_length_c 23.1705
_cell_angle_alpha 90.00
_cell_angle_beta 90.00
_cell_angle_gamma 120.00
loop_
_atom_site_label
_atom_site_type_symbol
_atom_site_fract_x
_atom_site_fract_y
_atom_site_fract_z
Er1 Er 0.0000 0.0000 0.0000
Mg1 Mg 0.0000 0.0000 0.2147
In1 In 0.0000 0.0000 0.4445
```

* DOS(E_F): 6.0 states/eV/cell


Record 2
Below is crystalline ErMg2In5 at its relaxed geometry, with properties calculated at the GGA-PBE level.

The structure in CIF format:
```
data_ErMg2In5
_symmetry_space_group_name_H-M 'I 4/m m m'
_symmetry_Int_Tables_number 139
_symmetry_space_group_name_Hall '-I 4 2'
_cell_length_a 7.7732
_cell_length_b 7.7732
_cell_length_c 6.6028
_cell_angle_alpha 90.00
_cell_angle_beta 90.00
_cell_angle_gamma 90.00
loop_
_atom_site_label
_atom_site_type_symbol
_atom_site_fract_x
_atom_site_fract_y
_atom_site_fract_z
Er1 Er 0.0000 0.0000 0.0000
Mg1 Mg 0.0000 0.5000 0.0000
In1 In 0.0000 0.0000 0.5000
In2 In 0.2500 0.2500 0.2500
```

* DOS(E_F): 8.3 states/eV/cell


The calculation returns the following E_tot values, one per record and in order: -3.07, -2.85 eV per atom.